This record from Alexandria describes HfAgN2O after structural relaxation. The functional is PBE.

## Properties
Size of the total moment = 0.000 μB/f.u.
E_tot = -6.09 eV/atom
Calculated density = 8.95 Mg/m³
Formation energy from raw total energies = 792 meV/atom
Crystal system = tetragonal

Cell: 3.9849 3.9849 3.8602 Å, 90.00 90.00 90.00°
Last column: nearest neighbours and their distance in Å.
Space group P4/mmm (No. 123)
One atom of each set of equivalent atoms:
Hf1 0.0000 0.0000 0.0000 [1 per cell]  8 N 2.77, 4 O 2.82
Ag1 0.5000 0.5000 0.5000 [1 per cell]  2 O 1.93, 4 N 1.99
N1 0.0000 0.5000 0.5000 [2 per cell]  2 Ag 1.99
O1 0.5000 0.5000 0.0000 [1 per cell]  2 Ag 1.93

This record from Alexandria describes HfAgN2O after structural relaxation. The functional is PBE.

## Properties
Size of the total moment = 2.923 μB/f.u.
E_tot = -6.96 eV/atom
Calculated density = 7.30 Mg/m³
Formation energy from raw total energies = -81 meV/atom
Crystal system = tetragonal

Cell: 4.3068 4.3068 4.0515 Å, 90.00 90.00 90.00°
Last column: nearest neighbours and their distance in Å.
Space group P4/mmm (No. 123)
One atom of each set of equivalent atoms:
Hf1 0.0000 0.0000 0.0000 [1 per cell]  2 O 2.03, 4 N 2.15
Ag1 0.5000 0.5000 0.5000 [1 per cell]  8 N 2.96, 4 O 3.05
N1 0.0000 0.5000 0.0000 [2 per cell]  2 Hf 2.15
O1 0.0000 0.0000 0.5000 [1 per cell]  2 Hf 2.03

This record from Alexandria describes HfPa2AgN5 after structural relaxation. The functional is PBE.

## Properties
Size of the total moment = 0.000 μB/f.u.
E_tot = -9.42 eV/atom
Calculated density = 10.36 Mg/m³
Formation energy from raw total energies = -1257 meV/atom
Crystal system = orthorhombic

Cell: 3.7181 11.9024 11.8606 Å, 90.00 90.00 90.00°
Last column: nearest neighbours and their distance in Å.
Space group Cmc2_1 (No. 36)
One atom of each set of equivalent atoms:
Hf1 0.0000 0.2227 0.0000 [4 per cell]  5 N 2.08-2.16
Pa1 0.0000 0.0974 0.6716 [4 per cell]  4 N 2.21-2.36
Pa2 0.0000 0.1600 0.2906 [4 per cell]  6 N 2.29-2.42
Ag1 0.0000 0.4826 0.4553 [4 per cell]  3 N 2.22-2.45
N1 0.0000 0.0669 0.0803 [4 per cell]  1 Hf 2.08, 1 Pa 2.24
N2 0.0000 0.1909 0.4846 [4 per cell]  2 Hf 2.13, 1 Pa 2.33
N3 0.0000 0.2311 0.8182 [4 per cell]  1 Hf 2.16, 3 Pa 2.29-2.36
N4 0.0000 0.3024 0.1584 [4 per cell]  1 Hf 2.10, 3 Pa 2.21-2.31
N5 0.0000 0.4693 0.7744 [4 per cell]  1 Ag 2.22, 2 Pa 2.42

This record from Alexandria describes HfAgS2N after structural relaxation. The functional is PBE.

## Properties
Size of the total moment = 0.000 μB/f.u.
E_tot = -4.98 eV/atom
Calculated density = 6.85 Mg/m³
Formation energy from raw total energies = 895 meV/atom
Offset from the most stable computed form = 91.5 kJ per mole of atoms
Crystal system = tetragonal

Cell: 4.7188 4.7188 3.9667 Å, 90.00 90.00 90.00°
Last column: nearest neighbours and their distance in Å.
Space group P4/mmm (No. 123)
One atom of each set of equivalent atoms:
Hf1 0.0000 0.0000 0.0000 [1 per cell]  8 S 3.08, 4 N 3.34
Ag1 0.5000 0.5000 0.5000 [1 per cell]  2 N 1.98
S1 0.0000 0.5000 0.5000 [2 per cell]  2 Ag 2.36
N1 0.5000 0.5000 0.0000 [1 per cell]  2 Ag 1.98

This record from Alexandria describes HfAgS2N after structural relaxation. The functional is PBE.

## Properties
Size of the total moment = 0.000 μB/f.u.
E_tot = -5.93 eV/atom
Calculated density = 5.88 Mg/m³
Formation energy from raw total energies = -53 meV/atom
Offset from the most stable computed form = 0.0 kJ per mole of atoms
Crystal system = tetragonal

Cell: 5.0004 5.0004 4.1177 Å, 90.00 90.00 90.00°
Last column: nearest neighbours and their distance in Å.
Space group P4/mmm (No. 123)
One atom of each set of equivalent atoms:
Hf1 0.0000 0.0000 0.0000 [1 per cell]  2 N 2.06
Ag1 0.5000 0.5000 0.5000 [1 per cell]  8 S 3.24, 4 N 3.54
S1 0.0000 0.5000 0.0000 [2 per cell]  2 Hf 2.50
N1 0.0000 0.0000 0.5000 [1 per cell]  2 Hf 2.06

This record from Alexandria describes Hf2ScAgN after structural relaxation. The functional is PBE.

## Properties
Size of the total moment = 0.000 μB/f.u.
E_tot = -8.28 eV/atom
Calculated density = 10.07 Mg/m³
Formation energy from raw total energies = -792 meV/atom
Crystal system = tetragonal

Cell: 4.4204 4.4204 4.4222 Å, 90.00 90.00 90.00°
Last column: nearest neighbours and their distance in Å.
Space group P4/mmm (No. 123)
One atom of each set of equivalent atoms:
Hf1 0.0000 0.5000 0.0000 [2 per cell]  2 N 2.21
Sc1 0.0000 0.0000 0.5000 [1 per cell]  2 N 2.21
Ag1 0.5000 0.5000 0.5000 [1 per cell]  4 Sc 3.13, 8 Hf 3.13
N1 0.0000 0.0000 0.0000 [1 per cell]  4 Hf 2.21, 2 Sc 2.21

This record from Alexandria describes HfTaAgN2 after structural relaxation. The functional is PBE.

## Properties
Size of the total moment = 0.000 μB/f.u.
E_tot = -6.04 eV/atom
Calculated density = 9.65 Mg/m³
Formation energy from raw total energies = 2224 meV/atom
Crystal system = tetragonal

Cell: 4.1174 4.1174 5.0284 Å, 90.00 90.00 90.00°
Last column: nearest neighbours and their distance in Å.
Space group P4/mmm (No. 123)
One atom of each set of equivalent atoms:
Hf1 0.0000 0.0000 0.0000 [1 per cell]  2 Ag 2.51
Ta1 0.5000 0.5000 0.0000 [1 per cell]  4 Hf 2.91, 8 N 3.25
Ag1 0.0000 0.0000 0.5000 [1 per cell]  4 N 2.06
N1 0.0000 0.5000 0.5000 [2 per cell]  2 Ag 2.06

This record from Alexandria describes Hf2TaAgN after structural relaxation. The functional is PBE.

## Properties
Size of the total moment = 0.000 μB/f.u.
E_tot = -9.17 eV/atom
Calculated density = 13.09 Mg/m³
Formation energy from raw total energies = -586 meV/atom
Crystal system = tetragonal

Cell: 4.4820 4.4820 4.1650 Å, 90.00 90.00 90.00°
Last column: nearest neighbours and their distance in Å.
Space group P4/mmm (No. 123)
One atom of each set of equivalent atoms:
Hf1 0.0000 0.5000 0.0000 [2 per cell]  2 N 2.24
Ta1 0.0000 0.0000 0.5000 [1 per cell]  2 N 2.08
Ag1 0.5000 0.5000 0.5000 [1 per cell]  8 Hf 3.06, 4 Ta 3.17
N1 0.0000 0.0000 0.0000 [1 per cell]  2 Ta 2.08, 4 Hf 2.24

This record from Alexandria describes HfAgTe2N after structural relaxation. The functional is PBE.

## Properties
Size of the total moment = 0.000 μB/f.u.
E_tot = -5.38 eV/atom
Calculated density = 7.00 Mg/m³
Formation energy from raw total energies = 99 meV/atom
Offset from the most stable computed form = 0.0 kJ per mole of atoms
Crystal system = tetragonal

Cell: 5.7860 5.7860 3.9349 Å, 90.00 90.00 90.00°
Last column: nearest neighbours and their distance in Å.
Space group P4/mmm (No. 123)
One atom of each set of equivalent atoms:
Hf1 0.0000 0.0000 0.0000 [1 per cell]  2 N 1.97
Ag1 0.5000 0.5000 0.5000 [1 per cell]  8 Te 3.50
Te1 0.0000 0.5000 0.0000 [2 per cell]  2 Hf 2.89
N1 0.0000 0.0000 0.5000 [1 per cell]  2 Hf 1.97

This record from Alexandria describes HfAgTeN2 after structural relaxation. The functional is PBE.

## Properties
Size of the total moment = 0.002 μB/f.u.
E_tot = -4.89 eV/atom
Calculated density = 8.15 Mg/m³
Formation energy from raw total energies = 1634 meV/atom
Offset from the most stable computed form = 124.7 kJ per mole of atoms
Crystal system = tetragonal

Cell: 4.1809 4.1809 5.1532 Å, 90.00 90.00 90.00°
Last column: nearest neighbours and their distance in Å.
Space group P4/mmm (No. 123)
One atom of each set of equivalent atoms:
Hf1 0.0000 0.0000 0.0000 [1 per cell]  4 Te 2.96
Ag1 0.5000 0.5000 0.5000 [1 per cell]  4 N 2.09
Te1 0.5000 0.5000 0.0000 [1 per cell]  2 Ag 2.58
N1 0.0000 0.5000 0.5000 [2 per cell]  2 Ag 2.09

This record from Alexandria describes HfAgTe2N after structural relaxation. The functional is PBE.

## Properties
Size of the total moment = 0.000 μB/f.u.
E_tot = -4.46 eV/atom
Calculated density = 7.98 Mg/m³
Formation energy from raw total energies = 1022 meV/atom
Offset from the most stable computed form = 89.1 kJ per mole of atoms
Crystal system = tetragonal

Cell: 5.4310 5.4310 3.9179 Å, 90.00 90.00 90.00°
Last column: nearest neighbours and their distance in Å.
Space group P4/mmm (No. 123)
One atom of each set of equivalent atoms:
Hf1 0.0000 0.0000 0.0000 [1 per cell]  8 Te 3.35
Ag1 0.5000 0.5000 0.5000 [1 per cell]  2 N 1.96
Te1 0.0000 0.5000 0.5000 [2 per cell]  2 Ag 2.72
N1 0.5000 0.5000 0.0000 [1 per cell]  2 Ag 1.96

This record from Alexandria describes HfAgTeN2 after structural relaxation. The functional is PBE.

## Properties
Size of the total moment = 0.000 μB/f.u.
E_tot = -6.18 eV/atom
Calculated density = 7.03 Mg/m³
Formation energy from raw total energies = 341 meV/atom
Offset from the most stable computed form = 0.0 kJ per mole of atoms
Crystal system = tetragonal

Cell: 4.1051 4.1051 6.1979 Å, 90.00 90.00 90.00°
Last column: nearest neighbours and their distance in Å.
Space group P4/mmm (No. 123)
One atom of each set of equivalent atoms:
Hf1 0.0000 0.0000 0.0000 [1 per cell]  4 N 2.05
Ag1 0.5000 0.5000 0.5000 [1 per cell]  4 Te 2.90
Te1 0.0000 0.0000 0.5000 [1 per cell]  4 Ag 2.90, 2 Hf 3.10
N1 0.0000 0.5000 0.0000 [2 per cell]  2 Hf 2.05